1.
BaOs2Pb after structural relaxation. Source: Alexandria, functional GGA-PBE.

Computed properties:
**E_tot**: -6.218 eV per atom

abc: 4.4505 4.8698 5.5924
angles: 90.00 92.12 90.00
Closest atoms and distances in Å follow each position.
Space group P2/m (No. 10)
Asymmetric unit:
Ba: 0.0000 0.0000 0.0000 [1 per cell]  4 Pb 3.51-3.64, 4 Os 3.56
Os: 0.2431 0.5000 0.5863 [2 per cell]  2 Os 2.34-2.51
Pb: 0.5000 0.0000 0.5000 [1 per cell]  4 Os 2.74

***

2.
Ba3OsPb after structural relaxation. Source: Alexandria, functional GGA-PBE.

Computed properties:
**ΔE to the lowest computed polymorph**: 0 meV/atom
**E_tot**: -3.884 eV per atom

abc: 5.9299 5.9299 5.9299
angles: 90.00 90.00 90.00
Closest atoms and distances in Å follow each position.
Space group Pm-3m (No. 221)
Asymmetric unit:
Ba: 0.0000 0.0000 0.5000 [3 per cell]  2 Os 2.96
Os: 0.0000 0.0000 0.0000 [1 per cell]  6 Ba 2.96
Pb: 0.5000 0.5000 0.5000 [1 per cell]  12 Ba 4.19

***

3.
BaOsPb2 after structural relaxation. Source: Alexandria, functional GGA-PBE.

Computed properties:
**E_tot**: -4.435 eV per atom

abc: 5.3870 5.3870 7.5879
angles: 90.00 90.00 90.00
Closest atoms and distances in Å follow each position.
Space group I-4m2 (No. 119)
Asymmetric unit:
Ba: 0.0000 0.0000 0.0000 [2 per cell]  4 Pb 3.29, 4 Os 3.29
Os: 0.0000 0.5000 0.7500 [2 per cell]  4 Ba 3.29, 4 Pb 3.29
Pb: 0.0000 0.0000 0.5000 [2 per cell]  4 Pb 3.29, 4 Os 3.29
Pb: 0.0000 0.5000 0.2500 [2 per cell]  4 Ba 3.29, 4 Pb 3.29

***

no.,calculated formation energy (eV/atom),N(E_F) (states/eV/cell)
1,0.80,3.454
2,0.26,5.771
3,0.71,6.951